The following is a DFT calculation (GGA-PBEsol) of Ti2Sb2Os after structural relaxation.

Output
Formation energy from raw total energies in meV/atom: 666
Calculated density in g/cm3: 8.8
SG: No. 139
Final energy in hartree per atom: -0.2546

Cell: 3.849 3.849 7.262 Å, 105.37 105.37 90.00°
Last column: magnetic moment on the atom in μB.
Positions (direct):
Sb (0.250, 0.750, 0.500)  0.01
Sb (0.750, 0.250, 0.500)  0.01
Os (0.000, 0.000, 0.000)  0.72
Ti (0.409, 0.409, 0.817)  -0.27
Ti (0.591, 0.591, 0.183)  -0.27